# 1
A plane-wave DFT calculation with GGA-PBE was carried out for a geometry-optimized BaNpZnO5 structure.

Cell: 6.177 6.177 8.095 Å, 104.66 104.66 106.30°
Fractional positions:
1 Ba 0.170 0.830 0.750
2 Ba 0.830 0.170 0.250
3 Np 0.500 0.500 0.000
4 Np 0.500 0.500 0.500
5 Zn 0.192 0.808 0.250
6 Zn 0.808 0.192 0.750
7 O 0.152 0.268 0.902
8 O 0.215 0.608 0.407
9 O 0.268 0.152 0.402
10 O 0.392 0.785 0.093
11 O 0.438 0.562 0.750
12 O 0.562 0.438 0.250
13 O 0.608 0.215 0.907
14 O 0.732 0.848 0.598
15 O 0.785 0.392 0.593
16 O 0.848 0.732 0.098

Output
Calculated density (kg/m³): 6422
Volume (Å³ per cell): 268.8



# 2
A plane-wave DFT calculation with GGA-PBE was carried out for a geometry-optimized HgPb2Br2 structure.

Cell: 8.077 8.077 4.950 Å, 90.00 90.00 90.00°
Fractional positions:
1 Hg 0.000 0.000 0.000
2 Hg 0.500 0.500 0.000
3 Pb 0.157 0.343 0.000
4 Pb 0.343 0.843 0.000
5 Pb 0.657 0.157 0.000
6 Pb 0.843 0.657 0.000
7 Br 0.181 0.681 0.500
8 Br 0.319 0.181 0.500
9 Br 0.681 0.819 0.500
10 Br 0.819 0.319 0.500

Output
Calculated density (kg/m³): 7967
Volume (Å³ per cell): 323.0
Relative energy among the computed polymorphs (kJ/mol of atoms): 0.2



| no. | formation energy from raw total energies (eV per atom) |
| --- | --- |
| 1 | -2.55 |
| 2 | -0.35 |